A relaxed Co2NiPt crystal, computed with GGA-PBE.

Unit cell a=8.5643 b=2.6416 c=4.4355 alpha=90.00 beta=100.64 gamma=90.00
Closest atoms and distances in Å follow each position.
Space group C2/m (No. 12)
Inequivalent atoms, fractional coordinates:
1 Co 0.2480 0.0000 0.2348 (multiplicity 4)  6 Co 2.47-2.69, 3 Ni 2.55-2.56, 3 Pt 2.61-2.62
2 Ni 0.0000 0.5000 0.0000 (multiplicity 2)  6 Co 2.55-2.56, 4 Pt 2.58, 2 Ni 2.64
3 Pt 0.0000 0.0000 0.5000 (multiplicity 2)  4 Ni 2.58, 6 Co 2.61-2.62, 2 Pt 2.64

- DOS at the Fermi energy (states/eV/f.u.) = 4.282
- calculated volume (Å³ per cell) = 98.6
- energy of formation from the pure elements (meV/atom) = -35.7

***

A relaxed Co2Ni2Pt7 crystal, computed with GGA-PBE.

Unit cell a=6.9397 b=8.3797 c=6.1186 alpha=90.00 beta=90.00 gamma=90.00
Closest atoms and distances in Å follow each position.
Space group Cmmm (No. 65)
Inequivalent atoms, fractional coordinates:
1 Co 0.0000 0.2059 0.0000 (multiplicity 4)  7 Pt 2.45-2.46
2 Ni 0.1667 0.5000 0.5000 (multiplicity 4)  1 Ni 2.31, 4 Pt 2.56
3 Pt 0.0000 0.0000 0.2852 (multiplicity 4)  2 Co 2.45, 5 Pt 2.63-2.72, 2 Ni 2.66
4 Pt 0.0000 0.5000 0.0000 (multiplicity 2)  2 Co 2.46
5 Pt 0.2500 0.2500 0.2781 (multiplicity 8)  2 Co 2.46, 2 Ni 2.56, 3 Pt 2.72

- DOS at the Fermi energy (states/eV/f.u.) = 15.819
- calculated volume (Å³ per cell) = 355.8
- energy of formation from the pure elements (meV/atom) = 360.3

***

A relaxed Co3Ni5Pt3 crystal, computed with GGA-PBE.

Unit cell a=8.2231 b=8.2231 c=2.5863 alpha=90.00 beta=90.00 gamma=120.00
Closest atoms and distances in Å follow each position.
Space group P-62m (No. 189)
Inequivalent atoms, fractional coordinates:
1 Co 0.0000 0.1598 0.0000 (multiplicity 3)  2 Co 2.28, 2 Ni 2.31, 2 Pt 2.49
2 Ni 0.0000 0.6762 0.0000 (multiplicity 3)  2 Co 2.31, 2 Pt 2.49
3 Ni 0.3333 0.6667 0.0000 (multiplicity 2)  5 Ni 2.59-2.78, 6 Pt 2.79
4 Pt 0.0000 0.4178 0.5000 (multiplicity 3)  2 Co 2.49, 2 Ni 2.49, 2 Pt 2.59

- DOS at the Fermi energy (states/eV/f.u.) = 15.504
- calculated volume (Å³ per cell) = 151.5
- energy of formation from the pure elements (meV/atom) = 350.4